(1)
Density functional theory data (GGA-PBE) for an optimized crystal structure of Ta3Ir4.

POSCAR file:
```
Ta3Ir4
1.0
-0.2756 4.5949 -2.3847
-3.3963 -3.7370 -1.1730
-3.0562 1.6617 3.5549
Ir Ta
4 3
Direct
0.0000 0.0000 0.7394
0.0000 0.0000 0.2606
0.6667 0.3333 0.5000
0.3333 0.6667 0.5000
0.0000 0.5000 0.0000
0.5000 0.0000 0.0000
0.5000 0.5000 0.0000
```

Properties
As for the calculated volume: 16.5 A^3/atom. The relative energy among the computed polymorphs comes out at 39.5 kJ per mole of atoms. Its space-group type is P6/mmm, No. 191. The value obtained for the energy of formation from the pure elements is 0.0738 eV per atom.

=====

(2)
Density functional theory data (GGA-PBE) for an optimized crystal structure of Fe6Co.

POSCAR file:
```
Fe6Co
1.0
6.1770 0.0011 0.0048
-2.9240 5.4411 0.0048
-2.9240 -4.8919 2.3822
Fe Co
6 1
Direct
0.8586 0.4306 0.7162
0.7162 0.8586 0.4306
0.4306 0.7162 0.8586
0.5694 0.2838 0.1414
0.1414 0.5694 0.2838
0.2838 0.1414 0.5694
0.0000 0.0000 0.0000
```

Properties
As for the calculated volume: 11.5 A^3/atom. The relative energy among the computed polymorphs comes out at 2.3 kJ per mole of atoms. Its space-group type is R-3, No. 148. The value obtained for the energy of formation from the pure elements is -0.0015 eV per atom.

=====

(3)
Density functional theory data (GGA-PBE) for an optimized crystal structure of Dy6TmCd5.

POSCAR file:
```
Dy6TmCd5
1.0
-5.1294 0.5185 0.9491
-1.5956 -3.3287 -6.8037
3.2900 -5.7546 6.4472
Dy Cd Tm
6 5 1
Direct
0.8294 0.5747 0.6589
0.1706 0.9158 0.3411
0.1706 0.4253 0.3411
0.5000 0.7326 0.0000
0.8294 0.0842 0.6589
0.5000 0.2674 0.0000
0.6685 0.6685 0.3370
0.3470 0.8470 0.6941
0.6530 0.1530 0.3059
0.3315 0.3315 0.6630
0.0000 0.5000 0.0000
0.0000 0.0000 0.0000
```

Properties
As for the calculated volume: 27.0 A^3/atom. Its space-group type is Immm, No. 71. The value obtained for the energy of formation from the pure elements is -0.2178 eV per atom.

=====

(4)
Density functional theory data (GGA-PBE) for an optimized crystal structure of ErSiHOs.

POSCAR file:
```
ErSiHOs
1.0
-1.5572 3.7395 0.3174
-1.2857 -0.2087 -3.8487
-6.1210 -2.7350 2.1930
Os H Er Si
2 2 2 2
Direct
0.5000 0.5000 0.0000
0.0000 0.0000 0.0000
0.0000 0.0000 0.5000
0.5000 0.5000 0.5000
0.5000 0.0000 0.6565
0.0000 0.5000 0.3435
0.5000 0.0000 0.1817
0.0000 0.5000 0.8183
```

Properties
As for the calculated volume: 14.6 A^3/atom. Its space-group type is P4/nmm, No. 129. Its total energy is -6.794 eV per atom.

=====

(5)
Density functional theory data (GGA-PBE) for an optimized crystal structure of Li2CrTc.

POSCAR file:
```
Li2CrTc
1.0
-0.6657 -0.2045 -5.2126
-2.6343 -2.9020 3.5064
-2.0936 1.2715 -0.0793
Li Tc Cr
2 1 1
Direct
0.0000 0.0000 0.0000
0.5000 0.5000 0.0000
0.5000 0.0000 0.5000
0.0000 0.5000 0.5000
```

Properties
As for the calculated volume: 13.4 A^3/atom. The relative energy among the computed polymorphs comes out at 10.6 kJ per mole of atoms. Its space-group type is C2/m, No. 12. The value obtained for the energy of formation from the pure elements is 0.3483 eV per atom.

=====

(6)
Density functional theory data (GGA-PBE) for an optimized crystal structure of CsCu3H.

POSCAR file:
```
CsCu3H
1.0
-4.8151 2.4166 2.6763
0.4496 -4.0275 4.4457
3.5778 3.7585 3.0432
Cs Cu H
1 3 1
Direct
0.0000 0.0000 0.0000
0.0000 0.5000 0.0000
0.5000 0.0000 0.0000
0.0000 0.0000 0.5000
0.5000 0.5000 0.5000
```

Properties
As for the calculated volume: 43.5 A^3/atom. The relative energy among the computed polymorphs comes out at 105.3 kJ per mole of atoms. Its space-group type is Pm-3m, No. 221.

=====

(7)
Density functional theory data (GGA-PBE) for an optimized crystal structure of BeGa2NiHg.

POSCAR file:
```
BeGa2NiHg
1.0
-1.6169 2.1229 -4.2714
-1.0939 -4.4127 -1.7790
-4.6345 0.3679 1.9372
Ni Ga Be Hg
1 2 1 1
Direct
0.0000 0.5000 0.0000
0.5000 0.0000 0.0000
0.0000 0.0000 0.5000
0.5000 0.5000 0.5000
0.0000 0.0000 0.0000
```

Properties
As for the calculated volume: 24.8 A^3/atom. Its space-group type is P4/mmm, No. 123. The value obtained for the energy of formation from the pure elements is 1.2056 eV per atom.

=====

(8)
Density functional theory data (GGA-PBE) for an optimized crystal structure of PmHo4AgS8.

POSCAR file:
```
PmHo4AgS8
1.0
8.0030 0.0000 0.0000
4.0015 6.9308 0.0000
4.0015 2.3103 6.6296
S Ho Ag Pm
8 4 1 1
Direct
0.7534 0.2278 0.2654
0.2468 0.2468 0.7344
0.2468 0.7720 0.7344
0.7586 0.7586 0.7241
0.7720 0.2468 0.7344
0.2417 0.2417 0.2749
0.2278 0.7534 0.2654
0.7534 0.7534 0.2654
0.0044 0.0044 0.5040
0.6260 0.6260 0.1219
0.0044 0.4872 0.5040
0.4872 0.0044 0.5040
0.3734 0.3734 0.8798
0.0040 0.0040 0.9880
```

Properties
As for the calculated volume: 26.3 A^3/atom. The raw formation energy comes out at -1818 meV per atom. Its space-group type is R3m, No. 160.

=====

(9)
Density functional theory data (GGA-PBE) for an optimized crystal structure of TaTc3Bi.

POSCAR file:
```
TaTc3Bi
1.0
4.8097 0.0000 0.0000
0.0000 4.8097 0.0000
0.0000 0.0000 4.8097
Ta Tc Bi
1 3 1
Direct
0.0000 0.0000 0.0000
0.0000 0.5000 0.0000
0.5000 0.0000 0.0000
0.0000 0.0000 0.5000
0.5000 0.5000 0.5000
```

Properties
As for the calculated volume: 22.3 A^3/atom. The relative energy among the computed polymorphs comes out at 0.0 kJ per mole of atoms. Its space-group type is Pm-3m, No. 221. The value obtained for the energy of formation from the pure elements is 1.5096 eV per atom.

=====

(10)
Density functional theory data (GGA-PBE) for an optimized crystal structure of Li4MgPb2.

POSCAR file:
```
Li4MgPb2
1.0
10.0327 0.0000 0.0000
0.0000 5.2469 -2.4279
0.0000 -0.4291 5.9561
Mg Li Pb
2 8 4
Direct
0.5000 0.5000 0.0000
0.0000 0.0000 0.0000
0.7500 0.5260 0.5000
0.2843 0.9021 0.0000
0.7157 0.0979 0.0000
0.2157 0.4021 0.0000
0.2500 0.9740 0.5000
0.2500 0.4740 0.5000
0.7843 0.5979 0.0000
0.7500 0.0260 0.5000
0.5000 0.1676 0.3352
0.0000 0.6676 0.3352
0.0000 0.3324 0.6648
0.5000 0.8324 0.6648
```

Properties
As for the calculated volume: 21.6 A^3/atom. The relative energy among the computed polymorphs comes out at 1.5 kJ per mole of atoms. Its space-group type is Cmce, No. 64. The value obtained for the energy of formation from the pure elements is -0.1379 eV per atom.

=====

(11)
Density functional theory data (GGA-PBE) for an optimized crystal structure of TmAg2SbTe4.

POSCAR file:
```
TmAg2SbTe4
1.0
4.3696 0.0000 0.0000
0.0000 7.4023 -0.0857
0.0000 2.6707 7.1019
Te Ag Tm Sb
4 2 1 1
Direct
0.5000 0.7526 0.2508
0.0000 0.2416 0.2545
0.5000 0.2474 0.7492
0.0000 0.7584 0.7455
0.5000 0.0000 0.5000
0.0000 0.0000 0.0000
0.0000 0.5000 0.5000
0.5000 0.5000 0.0000
```

Properties
As for the calculated volume: 28.8 A^3/atom. The raw formation energy comes out at -440 meV per atom. Its space-group type is P2/m, No. 10.

=====

(12)
Density functional theory data (GGA-PBE) for an optimized crystal structure of LaSiTe3.

POSCAR file:
```
LaSiTe3
1.0
-0.7275 -6.3657 3.8200
8.1137 0.5916 2.5310
-2.9459 5.5927 8.1366
Te Si La
12 4 4
Direct
0.3626 0.4724 0.2790
0.3493 0.1825 0.9381
0.3477 0.1892 0.5612
0.6507 0.8175 0.0619
0.8477 0.3108 0.0612
0.1374 0.9724 0.2210
0.8626 0.0276 0.7790
0.6523 0.8108 0.4388
0.1523 0.6892 0.9388
0.8493 0.3175 0.4381
0.1507 0.6825 0.5619
0.6374 0.5276 0.7210
0.0712 0.0932 0.4372
0.5712 0.4068 0.9372
0.9288 0.9068 0.5628
0.4288 0.5932 0.0628
0.9611 0.6242 0.2491
0.4611 0.8758 0.7491
0.0389 0.3758 0.7509
0.5389 0.1242 0.2509
```

Properties
As for the calculated volume: 32.7 A^3/atom. The relative energy among the computed polymorphs comes out at 0.0 kJ per mole of atoms. The raw formation energy comes out at -851 meV per atom. Its space-group type is P2_1/c, No. 14.

=====

(13)
Density functional theory data (GGA-PBE) for an optimized crystal structure of CdAs2RhI.

POSCAR file:
```
CdAs2RhI
1.0
5.4375 0.0000 0.0000
0.0000 4.8693 0.0000
0.0000 0.0000 5.4375
Cd As Rh I
1 2 1 1
Direct
0.5000 0.5000 0.5000
0.0000 0.0000 0.5000
0.5000 0.0000 0.0000
0.0000 0.5000 0.0000
0.0000 0.0000 0.0000
```

Properties
As for the calculated volume: 28.8 A^3/atom. The relative energy among the computed polymorphs comes out at 0.0 kJ per mole of atoms. The raw formation energy comes out at 1180 meV per atom. Its space-group type is P4/mmm, No. 123.

=====

(14)
Density functional theory data (GGA-PBE) for an optimized crystal structure of AsHRh.

POSCAR file:
```
AsHRh
1.0
2.8833 -0.0307 -0.0049
0.0526 2.9031 -0.0381
0.0378 1.3126 4.4844
H As Rh
1 1 1
Direct
0.8663 0.6771 0.4491
0.3645 0.2938 0.9487
0.3635 0.9931 0.4965
```

Properties
As for the calculated volume: 12.6 A^3/atom. The relative energy among the computed polymorphs comes out at 16.3 kJ per mole of atoms. Its space-group type is P1, No. 1.

=====

(15)
Density functional theory data (GGA-PBE) for an optimized crystal structure of La2Y5HoTh.

POSCAR file:
```
La2Y5HoTh
1.0
8.7305 0.0000 0.0000
0.0000 8.7305 0.0000
-4.3652 -4.3652 7.8526
Y Th La Ho
10 2 4 2
Direct
0.1426 0.0745 0.7171
0.4255 0.3574 0.2829
0.6426 0.1426 0.7171
0.5745 0.6426 0.7171
0.0000 0.0000 0.0000
0.0745 0.5745 0.7171
0.5000 0.5000 0.0000
0.8574 0.9255 0.2829
0.3574 0.8574 0.2829
0.9255 0.4255 0.2829
0.7500 0.7500 0.5000
0.2500 0.2500 0.5000
0.1166 0.3834 0.0000
0.8834 0.6166 0.0000
0.3834 0.8834 0.0000
0.6166 0.1166 0.0000
0.7500 0.2500 0.5000
0.2500 0.7500 0.5000
```

Properties
As for the calculated volume: 33.3 A^3/atom. Its space-group type is I4/mcm, No. 140. The value obtained for the energy of formation from the pure elements is 0.2792 eV per atom.

=====

(16)
Density functional theory data (GGA-PBE) for an optimized crystal structure of AcReSi3.

POSCAR file:
```
AcReSi3
1.0
5.9151 0.0002 -0.0002
-0.0002 6.0731 0.0002
0.0003 -3.0366 5.2593
Ac Si Re
2 6 2
Direct
0.2501 0.3333 0.6666
0.7499 0.6667 0.3334
0.2500 0.3943 0.1971
0.7500 0.6057 0.8029
0.2500 0.8028 0.6057
0.7500 0.1972 0.8029
0.2500 0.8028 0.1971
0.7500 0.1972 0.3943
0.5000 0.0000 0.0000
0.0000 0.0000 0.0000
```

Properties
As for the calculated volume: 18.9 A^3/atom. The relative energy among the computed polymorphs comes out at 0.0 kJ per mole of atoms. The raw formation energy comes out at -414 meV per atom. Its space-group type is P6_3/mmc, No. 194.

=====

(17)
Density functional theory data (GGA-PBE) for an optimized crystal structure of Sc2Hg2Br.

POSCAR file:
```
Sc2Hg2Br
1.0
8.3779 0.0000 0.0000
0.0000 8.3779 0.0000
0.0000 0.0000 3.4564
Br Sc Hg
2 4 4
Direct
0.5000 0.5000 0.0000
0.0000 0.0000 0.0000
0.1719 0.6719 0.5000
0.3281 0.1719 0.5000
0.8281 0.3281 0.5000
0.6719 0.8281 0.5000
0.8725 0.6275 0.0000
0.3725 0.8725 0.0000
0.6275 0.1275 0.0000
0.1275 0.3725 0.0000
```

Properties
As for the calculated volume: 24.3 A^3/atom. The relative energy among the computed polymorphs comes out at 25.7 kJ per mole of atoms. The raw formation energy comes out at -263 meV per atom. Its space-group type is P4/mbm, No. 127.

=====

(18)
Density functional theory data (GGA-PBE) for an optimized crystal structure of Sm2HoAlO.

POSCAR file:
```
Sm2HoAlO
1.0
-0.4258 1.2412 4.4832
1.0586 -4.5601 1.3631
4.7387 1.1402 0.1344
Sm Ho Al O
2 1 1 1
Direct
0.0000 0.0000 0.5000
0.0000 0.5000 0.0000
0.5000 0.0000 0.0000
0.5000 0.5000 0.5000
0.0000 0.0000 0.0000
```

Properties
As for the calculated volume: 22.2 A^3/atom. The raw formation energy comes out at -1350 meV per atom. Its space-group type is P4/mmm, No. 123.

=====

(19)
Density functional theory data (GGA-PBE) for an optimized crystal structure of ZnAgOs2.

POSCAR file:
```
ZnAgOs2
1.0
-0.3710 -1.6258 -2.1600
1.5468 -0.9160 2.0530
-7.6016 -3.6882 4.0816
Os Ag Zn
2 1 1
Direct
0.5000 0.5000 0.2493
0.0000 0.0000 0.0153
0.5000 0.5000 0.7434
0.0000 0.0000 0.4920
```

Properties
As for the calculated volume: 15.4 A^3/atom. Its space-group type is Cmm2, No. 35. The value obtained for the energy of formation from the pure elements is 0.4459 eV per atom.

=====

(20)
Density functional theory data (GGA-PBE) for an optimized crystal structure of KDyGe2Cl8.

POSCAR file:
```
KDyGe2Cl8
1.0
-4.8145 4.4773 1.9922
0.5366 -1.4453 6.1242
5.8818 6.6288 1.1347
Ge K Cl Dy
2 1 8 1
Direct
0.5477 0.5390 0.2381
0.4523 0.4610 0.7619
0.0000 0.0000 0.5000
0.3578 0.2768 0.5611
0.8130 0.2131 0.7927
0.1870 0.7869 0.2073
0.8626 0.2651 0.2184
0.1374 0.7349 0.7816
0.6883 0.7618 0.0388
0.3117 0.2382 0.9612
0.6422 0.7232 0.4389
0.0000 0.0000 0.0000
```

Properties
As for the calculated volume: 32.2 A^3/atom. The raw formation energy comes out at -1477 meV per atom. Its space-group type is P-1, No. 2.

=====

(21)
Density functional theory data (GGA-PBE) for an optimized crystal structure of La3Al2Hg3.

POSCAR file:
```
La3Al2Hg3
1.0
-1.6162 -3.7609 -2.3766
2.1229 -1.4868 5.6227
-14.4467 2.3662 6.0802
Hg La Al
6 6 4
Direct
0.6606 0.3212 0.7500
0.6231 0.2462 0.4623
0.6231 0.2462 0.0377
0.3769 0.7538 0.9623
0.3394 0.6788 0.2500
0.3769 0.7538 0.5377
0.9116 0.8232 0.3944
0.3740 0.7481 0.7500
0.6260 0.2519 0.2500
0.0884 0.1768 0.8944
0.0884 0.1768 0.6056
0.9116 0.8232 0.1056
0.2064 0.4128 0.1021
0.2064 0.4128 0.3979
0.7936 0.5872 0.8979
0.7936 0.5872 0.6021
```

Properties
As for the calculated volume: 26.8 A^3/atom. Its space-group type is Cmcm, No. 63. The value obtained for the energy of formation from the pure elements is -0.4696 eV per atom.

=====

(22)
Density functional theory data (GGA-PBE) for an optimized crystal structure of K3Rb3CrI8.

POSCAR file:
```
K3Rb3CrI8
1.0
10.0911 0.0000 0.0000
-5.0456 8.7419 -0.0301
0.0000 -5.7972 8.4840
Cr K Rb I
1 3 3 8
Direct
0.0000 0.0000 0.5000
0.0000 0.5000 0.5000
0.5000 0.0000 0.5000
0.5000 0.5000 0.5000
0.0000 0.5000 0.0000
0.5000 0.5000 0.0000
0.0000 0.0000 0.0000
0.2047 0.9942 0.6989
0.7895 0.9942 0.6989
0.2105 0.0058 0.3011
0.2054 0.4107 0.6996
0.2540 0.5081 0.2621
0.7460 0.4919 0.7379
0.7953 0.0058 0.3011
0.7946 0.5893 0.3004
```

Properties
As for the calculated volume: 49.8 A^3/atom. The raw formation energy comes out at -1219 meV per atom. Its space-group type is R-3m, No. 166.

=====

(23)
Density functional theory data (GGA-PBE) for an optimized crystal structure of KHgGeO4.

POSCAR file:
```
KHgGeO4
1.0
-2.1690 5.2086 -1.5983
-5.2804 -1.4359 2.4865
2.8598 0.9036 6.5948
K O Hg Ge
2 8 2 2
Direct
0.2873 0.2500 0.0620
0.7127 0.7500 0.9380
0.0515 0.9720 0.3076
0.5514 0.2500 0.8173
0.9485 0.4720 0.6924
0.5206 0.2500 0.4304
0.4794 0.7500 0.5696
0.4486 0.7500 0.1827
0.9485 0.0280 0.6924
0.0515 0.5280 0.3076
0.7962 0.7500 0.4513
0.2038 0.2500 0.5487
0.7353 0.2500 0.6607
0.2647 0.7500 0.3393
```

Properties
As for the calculated volume: 17.5 A^3/atom. The raw formation energy comes out at -1041 meV per atom. Its space-group type is P2_1/m, No. 11.